#one
This record from Alexandria via LeMat-Bulk describes a relaxed structure of SbMoSCl2. The functional is PBE-GGA.

Output
Total magnetic moment   4.95 μB/f.u.
Fermi-level density of states   0.350 states/eV per atom

a b c (Å): 5.2649 5.2649 5.2184
angles (deg): 90.00 90.00 90.00
With the nearest neighbours (Å) after each atom.
Sites, in units of the cell vectors:
S (0.0000, 0.0000, 0.5000)  2 Sb 2.61
Cl (0.5000, 0.0000, 0.0000)  2 Sb 2.63
Mo (0.5000, 0.5000, 0.5000)  8 Cl 3.71, 4 S 3.72
Sb (0.0000, 0.0000, 0.0000)  2 S 2.61, 4 Cl 2.63
Cl (0.0000, 0.5000, 0.0000)  2 Sb 2.63

=====

#two
This record from Alexandria via LeMat-Bulk describes a relaxed structure of SbMoSCl2. The functional is PBE-GGA.

Output
Total magnetic moment   2.16 μB/f.u.
Fermi-level density of states   0.891 states/eV per atom

a b c (Å): 4.8804 4.8804 4.7536
angles (deg): 90.00 90.00 90.00
With the nearest neighbours (Å) after each atom.
Sites, in units of the cell vectors:
Cl (0.5000, 0.0000, 0.0000)  2 Mo 2.44
Mo (0.0000, 0.0000, 0.0000)  2 S 2.38, 4 Cl 2.44
S (0.0000, 0.0000, 0.5000)  2 Mo 2.38
Sb (0.5000, 0.5000, 0.5000)  8 Cl 3.41, 4 S 3.45
Cl (0.0000, 0.5000, 0.0000)  2 Mo 2.44

=====

The winner here is #two, beating the second structure by 464 meV/atom.

=====

#one
This record from Alexandria via LeMat-Bulk describes a relaxed structure of ScMoSCl2. The functional is PBE-GGA.

Output
Total magnetic moment   0.00 μB/f.u.
Fermi-level density of states   0.432 states/eV per atom

a b c (Å): 4.4429 5.9724 4.4429
angles (deg): 90.00 90.00 90.00
With the nearest neighbours (Å) after each atom.
Sites, in units of the cell vectors:
Cl (0.0000, 0.0000, 0.5000)  2 Mo 2.22
Mo (0.0000, 0.0000, 0.0000)  4 Cl 2.22
Cl (0.5000, 0.0000, 0.0000)  2 Mo 2.22
Sc (0.0000, 0.5000, 0.0000)  2 Mo 2.99, 4 S 3.14
S (0.5000, 0.5000, 0.5000)  4 Sc 3.14

=====

#two
This record from Alexandria via LeMat-Bulk describes a relaxed structure of ScMoSCl2. The functional is PBE-GGA.

Output
Total magnetic moment   4.99 μB/f.u.
Fermi-level density of states   0.227 states/eV per atom

a b c (Å): 4.9418 4.9418 5.0266
angles (deg): 90.00 90.00 90.00
With the nearest neighbours (Å) after each atom.
Sites, in units of the cell vectors:
Sc (0.0000, 0.0000, 0.0000)  4 Cl 2.47, 2 S 2.51
S (0.0000, 0.0000, 0.5000)  2 Sc 2.51
Mo (0.5000, 0.5000, 0.5000)  4 S 3.49, 8 Cl 3.52
Cl (0.5000, 0.0000, 0.0000)  2 Sc 2.47
Cl (0.0000, 0.5000, 0.0000)  2 Sc 2.47

=====

#three
This record from Alexandria via LeMat-Bulk describes a relaxed structure of ScMoSCl2. The functional is PBE-GGA.

Output
Total magnetic moment   1.00 μB/f.u.
Fermi-level density of states   0.990 states/eV per atom

a b c (Å): 4.9015 4.9015 4.6049
angles (deg): 90.00 90.00 90.00
With the nearest neighbours (Å) after each atom.
Sites, in units of the cell vectors:
Mo (0.0000, 0.0000, 0.0000)  2 S 2.30, 4 Cl 2.45
Cl (0.5000, 0.0000, 0.0000)  2 Mo 2.45
Sc (0.5000, 0.5000, 0.5000)  8 Cl 3.36, 4 S 3.47
S (0.0000, 0.0000, 0.5000)  2 Mo 2.30
Cl (0.0000, 0.5000, 0.0000)  2 Mo 2.45

=====

The winner here is #two, beating the second structure by 198 meV/atom.

=====

#one
This record from Alexandria via LeMat-Bulk describes a relaxed structure of ScMoS2Cl. The functional is PBE-GGA.

Output
Total magnetic moment   4.00 μB/f.u.
Fermi-level density of states   0.345 states/eV per atom

a b c (Å): 4.9707 4.9707 4.7551
angles (deg): 90.00 90.00 90.00
With the nearest neighbours (Å) after each atom.
Sites, in units of the cell vectors:
Mo (0.5000, 0.5000, 0.5000)  8 S 3.44, 4 Cl 3.51
S (0.0000, 0.5000, 0.0000)  2 Sc 2.49
S (0.5000, 0.0000, 0.0000)  2 Sc 2.49
Cl (0.0000, 0.0000, 0.5000)  2 Sc 2.38
Sc (0.0000, 0.0000, 0.0000)  2 Cl 2.38, 4 S 2.49

=====

#two
This record from Alexandria via LeMat-Bulk describes a relaxed structure of ScMoS2Cl. The functional is PBE-GGA.

Output
Total magnetic moment   1.74 μB/f.u.
Fermi-level density of states   0.830 states/eV per atom

a b c (Å): 4.6955 4.6955 4.8149
angles (deg): 90.00 90.00 90.00
With the nearest neighbours (Å) after each atom.
Sites, in units of the cell vectors:
Mo (0.0000, 0.0000, 0.0000)  4 S 2.35, 2 Cl 2.41
Cl (0.0000, 0.0000, 0.5000)  2 Mo 2.41
S (0.5000, 0.0000, 0.0000)  2 Mo 2.35
S (0.0000, 0.5000, 0.0000)  2 Mo 2.35
Sc (0.5000, 0.5000, 0.5000)  4 Cl 3.32, 8 S 3.36

=====

The winner here is #two, beating the second structure by 74 meV/atom.